No. 1
VASP calculation (GGA-PBE) on an optimized crystal structure of KPuHgTe3.

Output
**E**: -4.9559 eV/atom
**Space-group type**: P2_1/m
**Energy relative to the elements, uncorrected**: -4.6 eV per formula unit
**Crystal system**: monoclinic
**Density of states at the Fermi level**: 2.236 states/eV/atom

abc: 9.258 4.569 10.875
angles: 90.00 107.01 90.00
Sites, in units of the cell vectors:
K 0.225 0.250 0.258
K 0.775 0.750 0.742
Pu 0.319 0.750 0.858
Pu 0.681 0.250 0.142
Hg 0.091 0.250 0.616
Hg 0.909 0.750 0.384
Te 0.088 0.250 0.874
Te 0.244 0.750 0.544
Te 0.458 0.750 0.154
Te 0.542 0.250 0.846
Te 0.756 0.250 0.456
Te 0.912 0.750 0.126


No. 2
VASP calculation (GGA-PBE) on an optimized crystal structure of K2Rb3Hg9.

Output
**Formation enthalpy at 0 K**: -3.36 eV per formula unit
**E**: -0.7980 eV/atom
**Space-group type**: Immm
**Crystal system**: orthorhombic
**Density of states at the Fermi level**: 0.569 states/eV/atom

abc: 10.473 10.473 10.473
angles: 150.16 114.42 73.70
Sites, in units of the cell vectors:
K 0.202 0.000 0.202
K 0.798 0.000 0.798
Rb 0.208 0.208 0.000
Rb 0.500 0.500 0.000
Rb 0.792 0.792 0.000
Hg 0.000 0.500 0.500
Hg 0.079 0.358 0.721
Hg 0.184 0.824 0.360
Hg 0.363 0.642 0.721
Hg 0.464 0.824 0.640
Hg 0.536 0.176 0.360
Hg 0.637 0.358 0.279
Hg 0.816 0.176 0.640
Hg 0.921 0.642 0.279


> The lowest density of states at the Fermi level belongs to which entry?

K2Rb3Hg9


> E of number 1 (KPuHgTe3)?

-4.9559 eV/atom


> The highest E belongs to which entry?

K2Rb3Hg9